DFT (PBE-GGA) results for a geometry-optimized TlTcBr2 structure.

Excess energy over the best structure of this formula in the dataset   185 meV/atom
Size of the total moment   0.694 μB per atom
ΔE_f (raw)   0.87 eV/f.u.

abc: 3.374 6.730 10.128
angles: 90.00 90.00 90.00
Space group Cmmm (No. 65)
Inequivalent atoms, fractional coordinates:
Tl1 0.000 0.000 0.000
Tc1 0.000 0.000 0.500
Br1 0.000 0.500 0.309